Entry 1:
This record from Alexandria describes RbLiTa2 after structural relaxation. The functional is PBE.

```
RbLiTa2
1.0
-3.151 2.086 -0.966
-1.112 -2.818 -2.456
-8.558 -5.827 7.464
Ta Li Rb
4 2 2
Direct
0.375 0.387 0.750
0.137 0.625 0.250
0.613 0.125 0.250
0.875 0.863 0.750
0.500 0.500 0.000
0.250 0.750 0.500
0.750 0.250 0.500
0.000 0.000 0.000
```

- E: -0.390 Ry per atom
- V: 23.694 A^3/atom
- Energy relative to the lowest polymorph listed for this composition: 0.00 eV per formula unit
- ΔE_f: 1347 meV/atom


Entry 2:
This record from Alexandria describes RbLi3Ta after structural relaxation. The functional is PBE.

```
RbLi3Ta
1.0
-1.240 4.235 -3.419
3.237 -2.245 -3.955
-4.376 -2.861 -1.957
Li Rb Ta
3 1 1
Direct
0.000 0.000 0.500
0.000 0.500 0.000
0.500 0.000 0.000
0.500 0.500 0.500
0.000 0.000 0.000
```

- E: -0.189 Ry per atom
- V: 34.788 A^3/atom
- Energy relative to the lowest polymorph listed for this composition: 0.00 eV per formula unit
- ΔE_f: 1141 meV/atom


Entry 3:
This record from Alexandria describes RbLiTaTc2 after structural relaxation. The functional is PBE.

```
RbLiTaTc2
1.0
4.810 0.000 0.000
0.000 6.393 0.000
0.000 0.000 4.810
Rb Li Tc Ta
1 1 2 1
Direct
0.000 0.500 0.000
0.500 0.500 0.500
0.000 0.000 0.500
0.500 0.000 0.000
0.000 0.000 0.000
```

- E: -0.402 Ry per atom
- V: 29.584 A^3/atom
- ΔE_f: 1617 meV/atom


The highest ΔE_f belongs to which entry? RbLiTaTc2


The highest V belongs to which entry? RbLi3Ta


Look up the V of the third one. 29.584 A^3/atom


E of number 3 (RbLiTaTc2)? -0.402 Ry per atom